{"formula": "LiNiRh2", "functional": "GGA-PBEsol", "state": "optimized geometry", "crystal_system": "tetragonal", "final_energy_ev_per_atom": -6.1219, "spacegroup": "I-4m2", "ef_ev_per_atom": -0.022, "cell": [[-1.8003, 1.8003, 3.7042], [1.8003, -1.8003, 3.7042], [1.8003, 1.8003, -3.7042]], "species": ["Li", "Ni", "Rh", "Rh"], "frac_coords": [[0.0000, 0.0000, 0.0000], [0.7500, 0.2500, 0.5000], [0.2500, 0.7500, 0.5000], [0.5000, 0.5000, 0.0000]]}


{"formula": "ReHg2RuC", "functional": "GGA-PBEsol", "state": "optimized geometry", "crystal_system": "tetragonal", "final_energy_ev_per_atom": -5.3332, "spacegroup": "P4/mmm", "ef_ev_per_atom": 1.523, "cell": [[4.5584, 0.0000, 0.0000], [0.0000, 4.5584, 0.0000], [0.0000, 0.0000, 3.8109]], "species": ["Re", "Hg", "Hg", "Ru", "C"], "frac_coords": [[0.0000, 0.0000, 0.0000], [0.0000, 0.5000, 0.5000], [0.5000, 0.0000, 0.5000], [0.5000, 0.5000, 0.0000], [0.5000, 0.5000, 0.5000]]}


{"formula": "La2Al7Cu", "functional": "GGA-PBEsol", "state": "optimized geometry", "crystal_system": "tetragonal", "final_energy_ev_per_atom": -4.7774, "spacegroup": "P4mm", "ef_ev_per_atom": -0.411, "cell": [[4.2765, 0.0000, 0.0000], [0.0000, 4.2765, 0.0000], [0.0000, 0.0000, 10.8876]], "species": ["La", "La", "Al", "Al", "Al", "Al", "Al", "Al", "Al", "Cu"], "frac_coords": [[0.0000, 0.0000, 0.0000], [0.5000, 0.5000, 0.4974], [0.0000, 0.0000, 0.3824], [0.0000, 0.0000, 0.6149], [0.0000, 0.5000, 0.2373], [0.0000, 0.5000, 0.7565], [0.5000, 0.0000, 0.2373], [0.5000, 0.0000, 0.7565], [0.5000, 0.5000, 0.9051], [0.5000, 0.5000, 0.1242]]}


{"formula": "Hf2ReI", "functional": "GGA-PBEsol", "state": "optimized geometry", "crystal_system": "cubic", "final_energy_ev_per_atom": -8.6208, "spacegroup": "Fm-3m", "cell": [[0.0000, 3.3956, 3.3956], [3.3956, 0.0000, 3.3956], [3.3956, 3.3956, 0.0000]], "species": ["Hf", "Hf", "Re", "I"], "frac_coords": [[0.2500, 0.2500, 0.2500], [0.7500, 0.7500, 0.7500], [0.0000, 0.0000, 0.0000], [0.5000, 0.5000, 0.5000]]}


{"formula": "PNClF", "functional": "GGA-PBEsol", "state": "optimized geometry", "crystal_system": "orthorhombic", "final_energy_ev_per_atom": -5.7721, "spacegroup": "Cmc2_1", "cell": [[6.3741, -4.8570, 0.0000], [6.3741, 4.8570, 0.0000], [0.0000, 0.0000, 7.8085]], "species": ["P", "P", "P", "P", "P", "P", "N", "N", "N", "N", "N", "N", "Cl", "Cl", "Cl", "Cl", "Cl", "Cl", "F", "F", "F", "F", "F", "F"], "frac_coords": [[0.1703, 0.8297, 0.5000], [0.2015, 0.5827, 0.2485], [0.4173, 0.7985, 0.2485], [0.5827, 0.2015, 0.7485], [0.7985, 0.4173, 0.7485], [0.8297, 0.1703, 0.0000], [0.1000, 0.6865, 0.4069], [0.3135, 0.9000, 0.4069], [0.3595, 0.6405, 0.1699], [0.6405, 0.3595, 0.6699], [0.6865, 0.1000, 0.9069], [0.9000, 0.3135, 0.9069], [0.2399, 0.7601, 0.7393], [0.2678, 0.3309, 0.2981], [0.3309, 0.2678, 0.7981], [0.6691, 0.7322, 0.2981], [0.7322, 0.6691, 0.7981], [0.7601, 0.2399, 0.2393], [0.0121, 0.9879, 0.5350], [0.0661, 0.5896, 0.1032], [0.4104, 0.9339, 0.1032], [0.5896, 0.0661, 0.6032], [0.9339, 0.4104, 0.6032], [0.9879, 0.0121, 0.0350]]}


{"formula": "CuNiBr", "functional": "GGA-PBEsol", "state": "optimized geometry", "crystal_system": "trigonal", "final_energy_ev_per_atom": -3.6181, "spacegroup": "P3m1", "cell": [[3.9741, 0.0000, 0.0000], [-1.9871, 3.4417, 0.0000], [0.0000, 0.0000, 3.2511]], "species": ["Cu", "Ni", "Br"], "frac_coords": [[0.0000, 0.0000, 0.0000], [0.6667, 0.3333, 0.4204], [0.3333, 0.6667, 0.5353]]}